1.
Material: K12Rb7Cd
Method: DFT, PBE
State: optimized geometry

Unit cell a=15.0633 b=15.0633 c=15.0633 alpha=116.72 beta=116.72 gamma=116.72
Positions (direct):
K (0.0000, 0.4081, 0.5919)
K (0.0000, 0.5919, 0.4081)
K (0.0575, 0.0575, 0.4166)
K (0.0575, 0.4166, 0.0575)
K (0.4081, 0.0000, 0.5919)
K (0.4081, 0.5919, 0.0000)
K (0.4166, 0.0575, 0.0575)
K (0.5834, 0.9425, 0.9425)
K (0.5919, 0.0000, 0.4081)
K (0.5919, 0.4081, 0.0000)
K (0.9425, 0.5834, 0.9425)
K (0.9425, 0.9425, 0.5834)
Rb (0.0000, 0.0000, 0.0000)
Rb (0.1586, 0.3953, 0.3953)
Rb (0.3953, 0.1586, 0.3953)
Rb (0.3953, 0.3953, 0.1586)
Rb (0.6047, 0.6047, 0.8414)
Rb (0.6047, 0.8414, 0.6047)
Rb (0.8414, 0.6047, 0.6047)
Cd (0.5000, 0.5000, 0.5000)

Computed properties:
* ρ: 1245 kg/m3
* space group: R-3m, No. 166
* DFT total energy: -19.8 eV per cell
* formation enthalpy at 0 K: 0.054 eV/atom



2.
Material: Pm5Sm2Ho6
Method: DFT, PBE
State: optimized geometry

Unit cell a=11.7000 b=20.5057 c=3.5975 alpha=90.00 beta=90.00 gamma=90.00
Positions (direct):
Pm (0.0000, 0.0000, 0.0000)
Pm (0.0848, 0.2750, 0.0000)
Pm (0.1999, 0.5500, 0.0000)
Pm (0.3001, 0.0500, 0.0000)
Pm (0.4152, 0.7750, 0.0000)
Pm (0.5000, 0.5000, 0.0000)
Pm (0.5848, 0.2250, 0.0000)
Pm (0.6999, 0.9500, 0.0000)
Pm (0.8001, 0.4500, 0.0000)
Pm (0.9152, 0.7250, 0.0000)
Sm (0.1720, 0.7129, 0.5000)
Sm (0.3280, 0.2129, 0.5000)
Sm (0.6720, 0.7871, 0.5000)
Sm (0.8280, 0.2871, 0.5000)
Ho (0.0602, 0.4204, 0.5000)
Ho (0.0789, 0.1323, 0.5000)
Ho (0.1777, 0.8661, 0.0000)
Ho (0.3223, 0.3661, 0.0000)
Ho (0.4211, 0.6323, 0.5000)
Ho (0.4398, 0.9204, 0.5000)
Ho (0.5602, 0.0796, 0.5000)
Ho (0.5789, 0.3677, 0.5000)
Ho (0.6777, 0.6339, 0.0000)
Ho (0.8223, 0.1339, 0.0000)
Ho (0.9211, 0.8677, 0.5000)
Ho (0.9398, 0.5796, 0.5000)

Computed properties:
* ρ: 7755 kg/m3
* space group: Pbam, No. 55
* DFT total energy: -118.9 eV per cell
* formation enthalpy at 0 K: 0.094 eV/atom



3.
Material: Li2SiSb
Method: DFT, PBE
State: optimized geometry

Unit cell a=3.9471 b=4.1954 c=8.9701 alpha=90.00 beta=90.00 gamma=90.00
Positions (direct):
Li (0.0000, 0.0000, 0.0000)
Li (0.0000, 0.5000, 0.2513)
Li (0.5000, 0.0000, 0.7513)
Li (0.5000, 0.5000, 0.5000)
Si (0.0000, 0.0000, 0.4880)
Si (0.5000, 0.5000, 0.9880)
Sb (0.0000, 0.5000, 0.7632)
Sb (0.5000, 0.0000, 0.2632)

Computed properties:
* formation energy without anion corrections: -0.6 eV/f.u.
* ΔE to the lowest computed polymorph: 0.0770 eV per atom
* ρ: 3661 kg/m3
* space group: Imm2, No. 44
* DFT total energy: -27.9 eV per cell



4.
Material: Pm4HoS4
Method: DFT, PBE
State: optimized geometry

Unit cell a=6.8777 b=6.8777 c=6.8777 alpha=99.83 beta=99.83 gamma=131.19
Positions (direct):
Pm (0.1001, 0.6985, 0.7987)
Pm (0.3015, 0.1001, 0.4016)
Pm (0.6985, 0.8999, 0.5984)
Pm (0.8999, 0.3015, 0.2013)
Ho (0.5000, 0.5000, 0.0000)
S (0.2052, 0.4027, 0.6078)
S (0.4027, 0.7948, 0.1975)
S (0.5973, 0.2052, 0.8025)
S (0.7948, 0.5973, 0.3922)

Computed properties:
* formation energy without anion corrections: -16.0 eV/f.u.
* ρ: 6504 kg/m3
* space group: I4/m, No. 87
* DFT total energy: -56.1 eV per cell



5.
Material: TbZr2U
Method: DFT, PBE
State: optimized geometry

Unit cell a=3.2344 b=3.2344 c=32.8303 alpha=90.00 beta=90.00 gamma=120.00
Positions (direct):
Tb (0.0000, 0.0000, 0.0000)
Tb (0.3333, 0.6667, 0.6667)
Tb (0.6667, 0.3333, 0.3333)
Zr (0.0000, 0.0000, 0.2467)
Zr (0.0000, 0.0000, 0.7533)
Zr (0.3333, 0.6667, 0.4200)
Zr (0.3333, 0.6667, 0.9133)
Zr (0.6667, 0.3333, 0.0867)
Zr (0.6667, 0.3333, 0.5800)
U (0.0000, 0.0000, 0.5000)
U (0.3333, 0.6667, 0.1667)
U (0.6667, 0.3333, 0.8333)

Computed properties:
* ρ: 9704 kg/m3
* space group: R-3m, No. 166
* DFT total energy: -95.9 eV per cell
* formation enthalpy at 0 K: 0.261 eV/atom



6.
Material: LaTb7Pm2
Method: DFT, PBE
State: optimized geometry

Unit cell a=9.5636 b=9.5636 c=9.5636 alpha=146.41 beta=136.45 gamma=56.10
Positions (direct):
La (0.0000, 0.0000, 0.0000)
Tb (0.1436, 0.3918, 0.7518)
Tb (0.2008, 0.2008, 0.0000)
Tb (0.3600, 0.6082, 0.7518)
Tb (0.5000, 0.0000, 0.5000)
Tb (0.6400, 0.3918, 0.2482)
Tb (0.7992, 0.7992, 0.0000)
Tb (0.8564, 0.6082, 0.2482)
Pm (0.3009, 0.8009, 0.5000)
Pm (0.6991, 0.1991, 0.5000)

Computed properties:
* ΔE to the lowest computed polymorph: 0.0000 eV per atom
* ρ: 7733 kg/m3
* space group: Immm, No. 71
* DFT total energy: -46.4 eV per cell
* formation enthalpy at 0 K: 0.048 eV/atom



7.
Material: CuNiP2Cl
Method: DFT, PBE
State: optimized geometry

Unit cell a=4.4119 b=4.4119 c=4.7980 alpha=90.00 beta=90.00 gamma=90.00
Positions (direct):
Cu (0.0000, 0.0000, 0.0000)
Ni (0.5000, 0.5000, 0.5000)
P (0.0000, 0.5000, 0.0000)
P (0.5000, 0.0000, 0.0000)
Cl (0.0000, 0.0000, 0.5000)

Computed properties:
* formation energy without anion corrections: 4.9 eV/f.u.
* ΔE to the lowest computed polymorph: 0.4289 eV per atom
* ρ: 3905 kg/m3
* space group: P4/mmm, No. 123
* DFT total energy: -17.6 eV per cell



8.
Material: LiCe2In3
Method: DFT, PBE
State: optimized geometry

Unit cell a=5.7117 b=5.7117 c=5.7117 alpha=65.82 beta=65.82 gamma=65.82
Positions (direct):
Li (0.0000, 0.0000, 0.0000)
Ce (0.3939, 0.3939, 0.3939)
Ce (0.6061, 0.6061, 0.6061)
In (0.0000, 0.0000, 0.5000)
In (0.0000, 0.5000, 0.0000)
In (0.5000, 0.0000, 0.0000)

Computed properties:
* ΔE to the lowest computed polymorph: 0.0058 eV per atom
* ρ: 7068 kg/m3
* space group: R-3m, No. 166
* DFT total energy: -24.2 eV per cell
* formation enthalpy at 0 K: -0.362 eV/atom



9.
Material: GdTl3
Method: DFT, PBE
State: optimized geometry

Unit cell a=3.7736 b=11.0152 c=5.5195 alpha=90.00 beta=90.00 gamma=90.00
Positions (direct):
Gd (0.0000, 0.0000, 0.0000)
Gd (0.5000, 0.5000, 0.5000)
Tl (0.0000, 0.2512, 0.6329)
Tl (0.0000, 0.5000, 0.0091)
Tl (0.0000, 0.7488, 0.6329)
Tl (0.5000, 0.0000, 0.5091)
Tl (0.5000, 0.2488, 0.1329)
Tl (0.5000, 0.7512, 0.1329)

Computed properties:
* ΔE to the lowest computed polymorph: 0.0917 eV per atom
* ρ: 11152 kg/m3
* space group: Imm2, No. 44
* DFT total energy: -43.7 eV per cell
* formation enthalpy at 0 K: -0.172 eV/atom



10.
Material: LiMnNiS3
Method: DFT, PBE
State: optimized geometry

Unit cell a=6.8994 b=3.4283 c=8.2699 alpha=90.00 beta=105.14 gamma=90.00
Positions (direct):
Li (0.2152, 0.2500, 0.2610)
Li (0.7848, 0.7500, 0.7390)
Mn (0.3174, 0.7500, 0.8369)
Mn (0.6826, 0.2500, 0.1631)
Ni (0.0855, 0.2500, 0.6061)
Ni (0.9145, 0.7500, 0.3939)
S (0.0970, 0.2500, 0.8712)
S (0.2520, 0.7500, 0.5424)
S (0.4354, 0.7500, 0.1385)
S (0.5646, 0.2500, 0.8615)
S (0.7480, 0.2500, 0.4576)
S (0.9030, 0.7500, 0.1288)

Computed properties:
* formation energy without anion corrections: -3.9 eV/f.u.
* ρ: 3813 kg/m3
* space group: P2_1/m, No. 11
* DFT total energy: -66.3 eV per cell



11.
Material: SnCl3F
Method: DFT, PBE
State: optimized geometry

Unit cell a=5.0866 b=5.0866 c=5.0866 alpha=90.00 beta=90.00 gamma=90.00
Positions (direct):
Sn (0.0000, 0.0000, 0.0000)
Cl (0.0000, 0.0000, 0.5000)
Cl (0.0000, 0.5000, 0.0000)
Cl (0.5000, 0.0000, 0.0000)
F (0.5000, 0.5000, 0.5000)

Computed properties:
* formation energy without anion corrections: -2.7 eV/f.u.
* ΔE to the lowest computed polymorph: 0.7397 eV per atom
* ρ: 3079 kg/m3
* space group: Pm-3m, No. 221
* DFT total energy: -14.1 eV per cell



12.
Material: CuHg3Pt
Method: DFT, PBE
State: optimized geometry

Unit cell a=5.2664 b=5.2664 c=5.2664 alpha=90.00 beta=90.00 gamma=90.00
Positions (direct):
Cu (0.0000, 0.0000, 0.0000)
Hg (0.0000, 0.5000, 0.5000)
Hg (0.5000, 0.0000, 0.5000)
Hg (0.5000, 0.5000, 0.0000)
Pt (0.5000, 0.5000, 0.5000)

Computed properties:
* ΔE to the lowest computed polymorph: 0.0000 eV per atom
* ρ: 9781 kg/m3
* space group: Pm-3m, No. 221
* DFT total energy: -8.7 eV per cell
* formation enthalpy at 0 K: 0.475 eV/atom